Computed, not measured: a relaxed BeSn2Ir crystal at the GGA-PBE level of DFT.

Output
- Calculated density: 10.02 g/cm³
- Space group: F-43m, No. 216
- Magnetic moment: 0.004 μB/f.u.
- E_tot: -4.662 eV per atom

abc: 4.685 4.685 4.685
angles: 60.00 60.00 60.00
Sites, in units of the cell vectors:
Be  0.000  0.000  0.000
Sn  0.500  0.500  0.500
Sn  0.750  0.750  0.750
Ir  0.250  0.250  0.250